# PBE-GGA PmScFe, optimized geometry
data_PmScFe
_cell_length_a 6.567
_cell_length_b 12.024
_cell_length_c 7.034
_cell_angle_alpha 90.00
_cell_angle_beta 90.00
_cell_angle_gamma 90.00
_space_group_name_H-M_alt 'C m c e'
_space_group_IT_number 64
_space_group_name_Hall '-C 2ac 2'
loop_
_atom_site_label
_atom_site_fract_x
_atom_site_fract_y
_atom_site_fract_z
Pm1 0.000 0.195 0.111
Sc1 0.250 0.038 0.750
Fe1 0.000 0.090 0.462
# electronic total energy	-19.5	eV/f.u.
# theoretical density	5.879	g/cm³
# M_tot	5.2	Bohr magnetons per cell
# E above lowest polymorph	0	meV per atom
# DFT formation energy	0.0101	eV per atom